A relaxed structure of RbNaNpI5, computed with GGA-PBE.

Values from the calculation:
- Symmetry: C2/c
- Raw formation energy: -8.77 eV/f.u.
- Final energy: -3.969 eV per atom

Unit cell a=8.8986 b=8.8986 c=11.7745 alpha=102.54 beta=102.54 gamma=109.68
Fractional coordinates of all 16 atoms:
1 Rb 0.1517 0.8483 0.7500
2 Rb 0.8483 0.1517 0.2500
3 Na 0.1877 0.8123 0.2500
4 Na 0.8123 0.1877 0.7500
5 Np 0.5000 0.5000 0.0000
6 Np 0.5000 0.5000 0.5000
7 I 0.1347 0.2436 0.9475
8 I 0.1900 0.5809 0.4062
9 I 0.2436 0.1347 0.4475
10 I 0.4191 0.8100 0.0938
11 I 0.4213 0.5787 0.7500
12 I 0.5787 0.4213 0.2500
13 I 0.5809 0.1900 0.9062
14 I 0.7564 0.8653 0.5525
15 I 0.8100 0.4191 0.5938
16 I 0.8653 0.7564 0.0525